P:
First-principles (PBE-GGA) data for CePmHgOs after structural relaxation, as listed in Alexandria via LeMat-Bulk.

abc: 3.405 3.405 8.383
angles: 90.00 90.00 90.00
Atoms (fractional coordinates):
Ce: 0.000 0.000 0.000
Pm: 0.000 0.000 0.421
Hg: 0.500 0.500 0.707
Os: 0.500 0.500 0.200


Q:
First-principles (PBE-GGA) data for CePmHgOs after structural relaxation, as listed in Alexandria via LeMat-Bulk.

abc: 5.136 5.136 5.136
angles: 60.00 60.00 60.00
Atoms (fractional coordinates):
Ce: 0.000 0.000 0.000
Pm: 0.500 0.500 0.500
Hg: 0.250 0.250 0.250
Os: 0.750 0.750 0.750


Most stable structure, least stable structure: P, Q.


P:
First-principles (PBE-GGA) data for CePuHgOs after structural relaxation, as listed in Alexandria via LeMat-Bulk.

abc: 5.071 5.071 5.071
angles: 60.00 60.00 60.00
Atoms (fractional coordinates):
Ce: 0.000 0.000 0.000
Pu: 0.500 0.500 0.500
Hg: 0.750 0.750 0.750
Os: 0.250 0.250 0.250


Q:
First-principles (PBE-GGA) data for CePuHgOs after structural relaxation, as listed in Alexandria via LeMat-Bulk.

abc: 3.290 3.290 8.598
angles: 90.00 90.00 90.00
Atoms (fractional coordinates):
Ce: 0.000 0.000 0.000
Pu: 0.000 0.000 0.583
Hg: 0.500 0.500 0.295
Os: 0.500 0.500 0.790


Most stable structure, least stable structure: Q, P.


P:
First-principles (PBE-GGA) data for CeYHgOs after structural relaxation, as listed in Alexandria via LeMat-Bulk.

abc: 5.081 5.081 5.081
angles: 60.00 60.00 60.00
Atoms (fractional coordinates):
Ce: 0.000 0.000 0.000
Y: 0.500 0.500 0.500
Hg: 0.750 0.750 0.750
Os: 0.250 0.250 0.250


Q:
First-principles (PBE-GGA) data for CeYHgOs after structural relaxation, as listed in Alexandria via LeMat-Bulk.

abc: 3.381 3.381 8.197
angles: 90.00 90.00 90.00
Atoms (fractional coordinates):
Ce: 0.000 0.000 0.000
Y: 0.000 0.000 0.427
Hg: 0.500 0.500 0.701
Os: 0.500 0.500 0.212


Most stable structure, least stable structure: Q, P.


P:
First-principles (PBE-GGA) data for CePaHg2 after structural relaxation, as listed in Alexandria via LeMat-Bulk.

abc: 5.346 5.346 5.346
angles: 60.00 60.00 60.00
Atoms (fractional coordinates):
Ce: 0.000 0.000 0.000
Pa: 0.500 0.500 0.500
Hg: 0.250 0.250 0.250
Hg: 0.750 0.750 0.750


Q:
First-principles (PBE-GGA) data for CePaHg2 after structural relaxation, as listed in Alexandria via LeMat-Bulk.

abc: 11.308 11.308 11.308
angles: 16.26 16.26 16.26
Atoms (fractional coordinates):
Ce: 0.000 0.000 0.000
Pa: 0.500 0.500 0.500
Hg: 0.250 0.250 0.250
Hg: 0.750 0.750 0.750


R:
First-principles (PBE-GGA) data for CePaHg2 after structural relaxation, as listed in Alexandria via LeMat-Bulk.

abc: 3.974 3.974 6.773
angles: 90.00 90.00 90.00
Atoms (fractional coordinates):
Ce: 0.000 0.000 0.000
Pa: 0.000 0.000 0.500
Hg: 0.500 0.500 0.256
Hg: 0.500 0.500 0.744


S:
First-principles (PBE-GGA) data for CePaHg2 after structural relaxation, as listed in Alexandria via LeMat-Bulk.

abc: 4.558 4.558 4.733
angles: 90.00 90.00 90.00
Atoms (fractional coordinates):
Ce: 0.000 0.000 0.000
Pa: 0.500 0.500 0.000
Hg: 0.000 0.500 0.500
Hg: 0.500 0.000 0.500


Most stable structure, least stable structure: S, P.


P:
First-principles (PBE-GGA) data for Ce4HgPb after structural relaxation, as listed in Alexandria via LeMat-Bulk.

abc: 6.244 6.244 6.244
angles: 131.53 119.35 81.19
Atoms (fractional coordinates):
Ce: 0.064 0.823 0.241
Ce: 0.417 0.177 0.241
Ce: 0.583 0.823 0.759
Ce: 0.936 0.177 0.759
Hg: 0.000 0.500 0.500
Pb: 0.500 0.500 0.000


Q:
First-principles (PBE-GGA) data for Ce4HgPb after structural relaxation, as listed in Alexandria via LeMat-Bulk.

abc: 8.940 8.940 7.515
angles: 100.29 100.29 36.99
Atoms (fractional coordinates):
Ce: 0.020 0.842 0.541
Ce: 0.142 0.547 0.909
Ce: 0.158 0.980 0.959
Ce: 0.453 0.858 0.591
Ce: 0.547 0.142 0.409
Ce: 0.842 0.020 0.041
Ce: 0.858 0.453 0.091
Ce: 0.980 0.158 0.459
Hg: 0.000 0.500 0.500
Hg: 0.500 0.000 0.000
Pb: 0.419 0.581 0.250
Pb: 0.581 0.419 0.750


Most stable structure, least stable structure: P, Q.


P:
First-principles (PBE-GGA) data for Ce2Hg4Pb3 after structural relaxation, as listed in Alexandria via LeMat-Bulk.

abc: 8.161 8.161 10.764
angles: 90.00 90.00 134.14
Atoms (fractional coordinates):
Ce: 0.093 0.907 0.971
Ce: 0.407 0.593 0.471
Ce: 0.593 0.407 0.529
Ce: 0.907 0.093 0.029
Hg: 0.197 0.803 0.502
Hg: 0.213 0.287 0.750
Hg: 0.287 0.213 0.250
Hg: 0.303 0.697 0.002
Hg: 0.697 0.303 0.998
Hg: 0.713 0.787 0.750
Hg: 0.787 0.713 0.250
Hg: 0.803 0.197 0.498
Pb: 0.000 0.000 0.500
Pb: 0.001 0.499 0.750
Pb: 0.499 0.001 0.250
Pb: 0.500 0.500 0.000
Pb: 0.501 0.999 0.750
Pb: 0.999 0.501 0.250


Q:
First-principles (PBE-GGA) data for Ce2Hg4Pb3 after structural relaxation, as listed in Alexandria via LeMat-Bulk.

abc: 5.663 5.663 10.381
angles: 102.41 102.41 50.54
Atoms (fractional coordinates):
Ce: 0.155 0.155 0.212
Ce: 0.845 0.845 0.788
Hg: 0.172 0.172 0.892
Hg: 0.492 0.492 0.331
Hg: 0.508 0.508 0.669
Hg: 0.828 0.828 0.108
Pb: 0.171 0.171 0.563
Pb: 0.500 0.500 0.000
Pb: 0.829 0.829 0.437


Most stable structure, least stable structure: Q, P.


P:
First-principles (PBE-GGA) data for Ce3Hg2Pb3 after structural relaxation, as listed in Alexandria via LeMat-Bulk.

abc: 10.579 10.579 10.579
angles: 154.03 153.86 37.19
Atoms (fractional coordinates):
Ce: 0.000 0.000 0.000
Ce: 0.139 0.639 0.500
Ce: 0.861 0.361 0.500
Hg: 0.253 0.253 0.000
Hg: 0.747 0.747 0.000
Pb: 0.374 0.874 0.500
Pb: 0.500 0.500 0.000
Pb: 0.626 0.126 0.500


Q:
First-principles (PBE-GGA) data for Ce3Hg2Pb3 after structural relaxation, as listed in Alexandria via LeMat-Bulk.

abc: 6.449 6.449 16.525
angles: 90.00 90.00 136.64
Atoms (fractional coordinates):
Ce: 0.068 0.932 0.611
Ce: 0.068 0.932 0.889
Ce: 0.328 0.672 0.750
Ce: 0.672 0.328 0.250
Ce: 0.932 0.068 0.111
Ce: 0.932 0.068 0.389
Hg: 0.210 0.790 0.125
Hg: 0.210 0.790 0.375
Hg: 0.790 0.210 0.625
Hg: 0.790 0.210 0.875
Pb: 0.371 0.629 0.531
Pb: 0.371 0.629 0.969
Pb: 0.406 0.594 0.250
Pb: 0.594 0.406 0.750
Pb: 0.629 0.371 0.031
Pb: 0.629 0.371 0.469


Most stable structure, least stable structure: P, Q.


P:
First-principles (PBE-GGA) data for Ce4Hg3Pb2 after structural relaxation, as listed in Alexandria via LeMat-Bulk.

abc: 5.266 5.266 10.625
angles: 90.13 90.13 59.88
Atoms (fractional coordinates):
Ce: 0.000 0.000 0.130
Ce: 0.000 0.000 0.870
Ce: 0.333 0.333 0.620
Ce: 0.667 0.667 0.380
Hg: 0.000 0.000 0.500
Hg: 0.333 0.333 0.960
Hg: 0.667 0.667 0.040
Pb: 0.334 0.334 0.281
Pb: 0.666 0.666 0.719


Q:
First-principles (PBE-GGA) data for Ce4Hg3Pb2 after structural relaxation, as listed in Alexandria via LeMat-Bulk.

abc: 9.049 9.049 9.468
angles: 90.00 90.00 135.59
Atoms (fractional coordinates):
Ce: 0.185 0.815 0.939
Ce: 0.232 0.268 0.750
Ce: 0.268 0.232 0.250
Ce: 0.315 0.685 0.439
Ce: 0.685 0.315 0.561
Ce: 0.732 0.768 0.750
Ce: 0.768 0.732 0.250
Ce: 0.815 0.185 0.061
Hg: 0.000 0.000 0.000
Hg: 0.046 0.454 0.750
Hg: 0.454 0.046 0.250
Hg: 0.500 0.500 0.500
Hg: 0.546 0.954 0.750
Hg: 0.954 0.546 0.250
Pb: 0.125 0.875 0.568
Pb: 0.375 0.625 0.068
Pb: 0.625 0.375 0.932
Pb: 0.875 0.125 0.432


Most stable structure, least stable structure: P, Q.